# Ca3AgS

A relaxed structure of Ca3AgS (PBEsol, the Alexandria database).

abc: 5.296 5.296 5.296
angles: 90.00 90.00 90.00
Atoms (fractional coordinates):
Ca: 0.000 0.000 0.500
Ca: 0.000 0.500 0.000
Ca: 0.500 0.000 0.000
Ag: 0.500 0.500 0.500
S: 0.000 0.000 0.000

## Properties
Space group   No. 221
ΔE to the lowest computed polymorph   0 meV/atom
ΔE_f (raw)   -3.57 eV/f.u.

=====

# CaAgS3

A relaxed structure of CaAgS3 (PBEsol, the Alexandria database).

abc: 4.770 4.770 4.770
angles: 90.00 90.00 90.00
Atoms (fractional coordinates):
Ca: 0.000 0.000 0.000
Ag: 0.500 0.500 0.500
S: 0.000 0.500 0.500
S: 0.500 0.000 0.500
S: 0.500 0.500 0.000

## Properties
Space group   No. 221
ΔE_f (raw)   -1.71 eV/f.u.

=====

# CaAgSb2

A relaxed structure of CaAgSb2 (PBEsol, the Alexandria database).

abc: 4.091 4.571 10.234
angles: 90.00 90.00 90.00
Atoms (fractional coordinates):
Ca: 0.000 0.000 0.000
Ca: 0.500 0.500 0.500
Ag: 0.000 0.500 0.231
Ag: 0.500 0.000 0.731
Sb: 0.000 0.000 0.505
Sb: 0.000 0.500 0.763
Sb: 0.500 0.000 0.263
Sb: 0.500 0.500 0.005

## Properties
Space group   No. 44
ΔE_f (raw)   -1.45 eV/f.u.

=====

# CaAgSb

A relaxed structure of CaAgSb (PBEsol, the Alexandria database).

abc: 7.579 4.554 8.314
angles: 90.00 90.00 90.00
Atoms (fractional coordinates):
Ca: 0.018 0.250 0.194
Ca: 0.482 0.750 0.694
Ca: 0.518 0.250 0.306
Ca: 0.982 0.750 0.806
Ag: 0.143 0.250 0.564
Ag: 0.357 0.750 0.064
Ag: 0.643 0.250 0.936
Ag: 0.857 0.750 0.436
Sb: 0.240 0.750 0.386
Sb: 0.260 0.250 0.886
Sb: 0.740 0.750 0.114
Sb: 0.760 0.250 0.614

## Properties
Space group   No. 62
ΔE_f (raw)   -2.16 eV/f.u.

=====

# CaAgSb2

A relaxed structure of CaAgSb2 (PBEsol, the Alexandria database).

abc: 6.995 8.058 3.397
angles: 90.00 90.00 90.00
Atoms (fractional coordinates):
Ca: 0.000 0.000 0.000
Ca: 0.500 0.500 0.000
Ag: 0.000 0.500 0.000
Ag: 0.500 0.000 0.000
Sb: 0.250 0.250 0.500
Sb: 0.250 0.750 0.500
Sb: 0.750 0.250 0.500
Sb: 0.750 0.750 0.500

## Properties
Space group   No. 65
ΔE_f (raw)   -1.37 eV/f.u.

=====

# Ca4AgSb

A relaxed structure of Ca4AgSb (PBEsol, the Alexandria database).

abc: 6.422 6.422 6.422
angles: 60.00 60.00 60.00
Atoms (fractional coordinates):
Ca: 0.124 0.124 0.124
Ca: 0.124 0.124 0.627
Ca: 0.124 0.627 0.124
Ca: 0.627 0.124 0.124
Ag: 0.500 0.500 0.500
Sb: 0.750 0.750 0.750

## Properties
Space group   No. 216
ΔE_f (raw)   1.22 eV/f.u.

=====

# CaAgSb3

A relaxed structure of CaAgSb3 (PBEsol, the Alexandria database).

abc: 5.568 5.568 5.568
angles: 90.00 90.00 90.00
Atoms (fractional coordinates):
Ca: 0.000 0.000 0.000
Ag: 0.500 0.500 0.500
Sb: 0.000 0.000 0.500
Sb: 0.000 0.500 0.000
Sb: 0.500 0.000 0.000

## Properties
Space group   No. 221
ΔE_f (raw)   4.10 eV/f.u.

=====

# Ca2ScAg

A relaxed structure of Ca2ScAg (PBEsol, the Alexandria database).

abc: 3.727 3.727 30.088
angles: 90.00 90.00 120.00
Atoms (fractional coordinates):
Ca: 0.000 0.000 0.000
Ca: 0.000 0.000 0.225
Ca: 0.333 0.667 0.667
Ca: 0.333 0.667 0.891
Ca: 0.667 0.333 0.333
Ca: 0.667 0.333 0.558
Sc: 0.000 0.000 0.762
Sc: 0.333 0.667 0.429
Sc: 0.667 0.333 0.096
Ag: 0.000 0.000 0.486
Ag: 0.333 0.667 0.153
Ag: 0.667 0.333 0.820

## Properties
Space group   No. 160

=====

# CaAg2Se

A relaxed structure of CaAg2Se (PBEsol, the Alexandria database).

abc: 6.896 6.896 6.896
angles: 90.00 90.00 90.00
Atoms (fractional coordinates):
Ca: 0.000 0.000 0.000
Ca: 0.000 0.500 0.500
Ca: 0.500 0.000 0.500
Ca: 0.500 0.500 0.000
Ag: 0.000 0.000 0.500
Ag: 0.000 0.500 0.000
Ag: 0.250 0.250 0.250
Ag: 0.250 0.750 0.750
Ag: 0.500 0.000 0.000
Ag: 0.500 0.500 0.500
Ag: 0.750 0.250 0.750
Ag: 0.750 0.750 0.250
Se: 0.250 0.250 0.750
Se: 0.250 0.750 0.250
Se: 0.750 0.250 0.250
Se: 0.750 0.750 0.750

## Properties
Space group   No. 216
ΔE_f (raw)   -1.76 eV/f.u.

=====

# Ca4AgSe

A relaxed structure of Ca4AgSe (PBEsol, the Alexandria database).

abc: 6.436 6.436 6.436
angles: 60.00 60.00 60.00
Atoms (fractional coordinates):
Ca: 0.125 0.125 0.125
Ca: 0.125 0.125 0.624
Ca: 0.125 0.624 0.125
Ca: 0.624 0.125 0.125
Ag: 0.750 0.750 0.750
Se: 0.500 0.500 0.500

## Properties
Space group   No. 216
ΔE_f (raw)   1.25 eV/f.u.

=====

# CaAg2Se2

A relaxed structure of CaAg2Se2 (PBEsol, the Alexandria database).

abc: 3.909 3.909 13.979
angles: 90.00 90.00 90.00
Atoms (fractional coordinates):
Ca: 0.000 0.000 0.000
Ca: 0.500 0.500 0.500
Ag: 0.000 0.500 0.250
Ag: 0.000 0.500 0.750
Ag: 0.500 0.000 0.250
Ag: 0.500 0.000 0.750
Se: 0.000 0.000 0.389
Se: 0.000 0.000 0.611
Se: 0.500 0.500 0.111
Se: 0.500 0.500 0.889

## Properties
Space group   No. 139
ΔE_f (raw)   -3.63 eV/f.u.

=====

# CaAgSe

A relaxed structure of CaAgSe (PBEsol, the Alexandria database).

abc: 3.802 3.802 9.315
angles: 90.00 90.00 90.00
Atoms (fractional coordinates):
Ca: 0.000 0.000 0.000
Ca: 0.500 0.500 0.500
Ag: 0.000 0.000 0.679
Ag: 0.500 0.500 0.179
Se: 0.000 0.000 0.372
Se: 0.500 0.500 0.872

## Properties
Space group   No. 107
ΔE_f (raw)   -2.10 eV/f.u.

=====

# Ca2AgSe2

A relaxed structure of Ca2AgSe2 (PBEsol, the Alexandria database).

abc: 7.762 7.762 3.797
angles: 90.00 90.00 90.00
Atoms (fractional coordinates):
Ca: 0.154 0.346 0.000
Ca: 0.346 0.846 0.000
Ca: 0.654 0.154 0.000
Ca: 0.846 0.654 0.000
Ag: 0.000 0.000 0.500
Ag: 0.500 0.500 0.500
Se: 0.156 0.656 0.500
Se: 0.344 0.156 0.500
Se: 0.656 0.844 0.500
Se: 0.844 0.344 0.500

## Properties
Space group   No. 127
ΔE_f (raw)   -6.21 eV/f.u.

=====

# CaSi2Ag

A relaxed structure of CaSi2Ag (PBEsol, the Alexandria database).

abc: 6.674 6.674 6.674
angles: 90.00 90.00 90.00
Atoms (fractional coordinates):
Ca: 0.000 0.000 0.000
Ca: 0.000 0.500 0.500
Ca: 0.500 0.000 0.500
Ca: 0.500 0.500 0.000
Si: 0.250 0.250 0.250
Si: 0.250 0.250 0.750
Si: 0.250 0.750 0.250
Si: 0.250 0.750 0.750
Si: 0.750 0.250 0.250
Si: 0.750 0.250 0.750
Si: 0.750 0.750 0.250
Si: 0.750 0.750 0.750
Ag: 0.000 0.000 0.500
Ag: 0.000 0.500 0.000
Ag: 0.500 0.000 0.000
Ag: 0.500 0.500 0.500

## Properties
Space group   No. 225
ΔE_f (raw)   0.29 eV/f.u.

=====

# Ca2SiAg

A relaxed structure of Ca2SiAg (PBEsol, the Alexandria database).

abc: 3.438 5.145 5.152
angles: 90.00 90.00 90.00
Atoms (fractional coordinates):
Ca: 0.000 0.000 0.000
Ca: 0.000 0.500 0.486
Si: 0.500 0.500 0.983
Ag: 0.500 0.000 0.507

## Properties
Space group   No. 25
ΔE_f (raw)   -1.39 eV/f.u.

=====

Number 1: energy -3.5324 eV/atom. Number 2: energy -4.0615 eV/atom. Number 3: energy -4.0016 eV/atom. Number 4: energy -4.0543 eV/atom. Number 5: energy -3.9828 eV/atom. Number 6: energy -2.5297 eV/atom. Number 7: energy -3.0033 eV/atom. Number 8: energy -3.4563 eV/atom. Number 9: energy -3.5911 eV/atom. Number 10: energy -2.4080 eV/atom. Number 11: energy -4.0181 eV/atom. Number 12: energy -3.7968 eV/atom. Number 13: energy -4.2984 eV/atom. Number 14: energy -4.1622 eV/atom. Number 15: energy -3.6797 eV/atom.